Cu3CCl after structural relaxation, computed with GGA-PBE.

```
Cu3CCl
1.0
4.015 0.000 0.000
0.000 4.015 0.000
0.000 0.000 4.015
Cu C Cl
3 1 1
Direct
0.000 0.000 0.500
0.000 0.500 0.000
0.500 0.000 0.000
0.000 0.000 0.000
0.500 0.500 0.500
```

## Properties
Its density of states at the Fermi level is 6.381 states/eV/cell. The total magnetization comes out at 0.000 μB per atom. The polymorph energy (0 for the lowest one) is 0.0000 eV per atom.

***

Li4GdDy after structural relaxation, computed with GGA-PBE.

```
Li4GdDy
1.0
0.000 4.140 4.140
4.140 0.000 4.140
4.140 4.140 0.000
Li Gd Dy
4 1 1
Direct
0.125 0.125 0.125
0.125 0.125 0.625
0.125 0.625 0.125
0.625 0.125 0.125
0.500 0.500 0.500
0.750 0.750 0.750
```

## Properties
Its density of states at the Fermi level is 6.584 states/eV/cell. For the formation energy, the calculation gives 0.1154 eV per atom. The total magnetization comes out at 1.227 μB per atom.

***

CeBiSb2N after structural relaxation, computed with GGA-PBE.

```
CeBiSb2N
1.0
4.030 0.000 0.000
0.000 4.030 0.000
0.000 0.000 17.203
Ce Bi Sb N
2 2 4 2
Direct
0.250 0.250 0.064
0.750 0.750 0.936
0.250 0.250 0.646
0.750 0.750 0.354
0.250 0.250 0.435
0.250 0.250 0.818
0.750 0.750 0.182
0.750 0.750 0.565
0.250 0.750 0.000
0.750 0.250 0.000
```

## Properties
Its density of states at the Fermi level is 5.948 states/eV/cell. The uncorrected energy comes out at -57.882 eV for the cell shown. The total magnetization comes out at 0.000 μB per atom.

***

Hf2Ag2Te after structural relaxation, computed with GGA-PBE.

```
Hf2Ag2Te
1.0
-1.858 1.858 7.891
1.858 -1.858 7.891
1.858 1.858 -7.891
Hf Ag Te
2 2 1
Direct
0.102 0.102 0.000
0.898 0.898 0.000
0.250 0.750 0.500
0.750 0.250 0.500
0.500 0.500 0.000
```

## Properties
Its density of states at the Fermi level is 3.541 states/eV/cell. The total magnetization comes out at 0.000 μB per atom. The polymorph energy (0 for the lowest one) is 0.0718 eV per atom.

***

Tl2Cu3PbCl8 after structural relaxation, computed with GGA-PBE.

```
Tl2Cu3PbCl8
1.0
4.062 2.345 7.453
-4.062 2.345 7.453
0.000 -4.690 7.453
Tl Cu Pb Cl
2 3 1 8
Direct
0.000 0.000 0.000
0.370 0.370 0.370
0.018 0.018 0.470
0.018 0.470 0.018
0.470 0.018 0.018
0.547 0.547 0.547
0.135 0.741 0.741
0.235 0.235 0.235
0.255 0.255 0.823
0.255 0.823 0.255
0.663 0.663 0.663
0.741 0.135 0.741
0.741 0.741 0.135
0.823 0.255 0.255
```

## Properties
Its density of states at the Fermi level is 3.380 states/eV/cell. The uncorrected energy comes out at -45.312 eV for the cell shown. The total magnetization comes out at 0.076 μB per atom.

***

Ag4W after structural relaxation, computed with GGA-PBE.

```
Ag4W
1.0
-3.283 3.283 2.031
3.283 -3.283 2.031
3.283 3.283 -2.031
Ag W
4 1
Direct
0.104 0.703 0.807
0.297 0.104 0.400
0.703 0.896 0.600
0.896 0.297 0.193
0.500 0.500 0.000
```

## Properties
Its density of states at the Fermi level is 3.322 states/eV/cell. For the formation energy, the calculation gives 0.6924 eV per atom. The total magnetization comes out at 0.423 μB per atom. The polymorph energy (0 for the lowest one) is 0.0000 eV per atom.

***

CdPb2Br after structural relaxation, computed with GGA-PBE.

```
CdPb2Br
1.0
3.625 0.000 0.000
0.000 3.625 0.000
0.000 0.000 8.930
Cd Pb Br
1 2 1
Direct
0.000 0.000 0.000
0.000 0.000 0.504
0.500 0.500 0.244
0.500 0.500 0.793
```

## Properties
Its density of states at the Fermi level is 2.048 states/eV/cell. The total magnetization comes out at 0.000 μB per atom. The polymorph energy (0 for the lowest one) is 0.0489 eV per atom.

***

GaHgI after structural relaxation, computed with GGA-PBE.

```
GaHgI
1.0
0.000 3.812 3.812
3.812 0.000 3.812
3.812 3.812 0.000
Ga Hg I
1 1 1
Direct
0.000 0.000 0.000
0.750 0.750 0.750
0.250 0.250 0.250
```

## Properties
Its density of states at the Fermi level is 0.000 states/eV/cell. The total magnetization comes out at 0.000 μB per atom. The polymorph energy (0 for the lowest one) is 0.0481 eV per atom.

***

Zr7Pd3 after structural relaxation, computed with GGA-PBE.

```
Zr7Pd3
1.0
9.065 0.000 0.000
-4.532 7.850 0.000
0.000 0.000 5.999
Zr Pd
14 6
Direct
0.080 0.540 0.000
0.129 0.259 0.272
0.129 0.871 0.272
0.259 0.129 0.772
0.333 0.667 0.385
0.460 0.540 0.000
0.460 0.920 0.000
0.540 0.080 0.500
0.540 0.460 0.500
0.667 0.333 0.885
0.741 0.871 0.272
0.871 0.129 0.772
0.871 0.741 0.772
0.920 0.460 0.500
0.196 0.391 0.707
0.196 0.804 0.707
0.391 0.196 0.207
0.609 0.804 0.707
0.804 0.196 0.207
0.804 0.609 0.207
```

## Properties
Its density of states at the Fermi level is 21.984 states/eV/cell. For the formation energy, the calculation gives -0.3700 eV per atom. The total magnetization comes out at 0.000 μB per atom.

***

CsHfTl2Pt after structural relaxation, computed with GGA-PBE.

```
CsHfTl2Pt
1.0
5.846 0.000 0.000
0.000 5.846 0.000
0.000 0.000 5.096
Cs Hf Tl Pt
1 1 2 1
Direct
0.000 0.000 0.000
0.500 0.500 0.500
0.000 0.500 0.500
0.500 0.000 0.500
0.500 0.500 0.000
```

## Properties
Its density of states at the Fermi level is 4.671 states/eV/cell. For the formation energy, the calculation gives 0.1819 eV per atom. The total magnetization comes out at 0.001 μB per atom.

***

Tm2GeBi after structural relaxation, computed with GGA-PBE.

```
Tm2GeBi
1.0
2.176 -11.587 0.000
2.176 11.587 0.000
0.000 0.000 4.159
Tm Ge Bi
4 2 2
Direct
0.060 0.940 0.750
0.330 0.670 0.750
0.670 0.330 0.250
0.940 0.060 0.250
0.458 0.542 0.750
0.542 0.458 0.250
0.192 0.808 0.750
0.808 0.192 0.250
```

## Properties
Its density of states at the Fermi level is 2.814 states/eV/cell. For the formation energy, the calculation gives -0.7297 eV per atom. The total magnetization comes out at 0.000 μB per atom. The polymorph energy (0 for the lowest one) is 0.0000 eV per atom.